[1]
# Ba2Cd2Hg

A relaxed Ba2Cd2Hg crystal (GGA-PBE, Alexandria via LeMat-Bulk).

a b c (Å): 9.5487 9.5487 4.4747
angles (deg): 90.00 90.00 90.00
Sites, in units of the cell vectors:
Ba: 0.1682 0.3318 0.0000
Ba: 0.3318 0.8318 0.0000
Ba: 0.6682 0.1682 0.0000
Ba: 0.8318 0.6682 0.0000
Cd: 0.1217 0.6217 0.5000
Cd: 0.3783 0.1217 0.5000
Cd: 0.6217 0.8783 0.5000
Cd: 0.8783 0.3783 0.5000
Hg: 0.0000 0.0000 0.0000
Hg: 0.5000 0.5000 0.0000

energy relative to the elements	-194	meV per atom
crystal system	tetragonal
distance to the lowest polymorph of the same formula	168	meV/atom
magnetic moment	0.00	μB/f.u.
space group	No. 127
E_tot	-13.89	eV for the cell shown


[2]
# YMg2O

A relaxed YMg2O crystal (GGA-PBE, Alexandria via LeMat-Bulk).

a b c (Å): 6.3726 6.3726 6.3726
angles (deg): 60.00 60.00 60.00
Sites, in units of the cell vectors:
Y: 0.1250 0.1250 0.1250
Y: 0.8750 0.8750 0.8750
Mg: 0.0000 0.5000 0.5000
Mg: 0.5000 0.0000 0.5000
Mg: 0.5000 0.5000 0.0000
Mg: 0.5000 0.5000 0.5000
O: 0.3750 0.3750 0.3750
O: 0.6250 0.6250 0.6250

formation energy from raw total energies	-0.91	eV per atom
crystal system	cubic
magnetic moment	0.82	μB/f.u.
space group	No. 227
E_tot	-36.53	eV for the cell shown